Entry one
VASP calculation (PBE-GGA) on a geometry-optimized TaNb3Ru structure.

Cell and atoms, written as CIF:
```
data_TaNb3Ru
_chemical_formula_sum 'Ta1 Nb3 Ru1'
_cell_length_a 4.758
_cell_length_b 4.758
_cell_length_c 4.758
_cell_angle_alpha 90.00
_cell_angle_beta 90.00
_cell_angle_gamma 90.00
_symmetry_space_group_name_H-M 'P 1'
_symmetry_Int_Tables_number 1
_symmetry_space_group_name_Hall 'P 1'
loop_
_atom_site_label
_atom_site_fract_x
_atom_site_fract_y
_atom_site_fract_z
_atom_site_occupancy
Nb1 0.000 0.000 0.500 1
Nb2 0.000 0.500 0.000 1
Nb3 0.500 0.000 0.000 1
Ru1 0.000 0.000 0.000 1
Ta1 0.500 0.500 0.500 1
```

Entry two
VASP calculation (PBE-GGA) on a geometry-optimized TaNb3Ru structure.

Cell and atoms, written as CIF:
```
data_TaNb3Ru
_chemical_formula_sum 'Ta2 Nb6 Ru2'
_cell_length_a 2.875
_cell_length_b 4.597
_cell_length_c 13.294
_cell_angle_alpha 90.00
_cell_angle_beta 97.95
_cell_angle_gamma 90.00
_symmetry_space_group_name_H-M 'P 1'
_symmetry_Int_Tables_number 1
_symmetry_space_group_name_Hall 'P 1'
loop_
_atom_site_label
_atom_site_fract_x
_atom_site_fract_y
_atom_site_fract_z
_atom_site_occupancy
Nb1 0.504 0.750 0.257 1
Nb2 0.311 0.250 0.948 1
Nb3 0.915 0.250 0.367 1
Nb4 0.689 0.750 0.052 1
Nb5 0.496 0.250 0.743 1
Nb6 0.085 0.750 0.633 1
Ru1 0.311 0.750 0.443 1
Ru2 0.689 0.250 0.557 1
Ta1 0.899 0.750 0.843 1
Ta2 0.101 0.250 0.157 1
```

Most favorable first, least favorable last: entry two, entry one

Entry one
VASP calculation (PBE-GGA) on a geometry-optimized Ta4Nb2Ru structure.

Cell and atoms, written as CIF:
```
data_Ta4Nb2Ru
_chemical_formula_sum 'Ta4 Nb2 Ru1'
_cell_length_a 2.735
_cell_length_b 10.097
_cell_length_c 4.638
_cell_angle_alpha 77.52
_cell_angle_beta 90.00
_cell_angle_gamma 90.00
_symmetry_space_group_name_H-M 'P 1'
_symmetry_Int_Tables_number 1
_symmetry_space_group_name_Hall 'P 1'
loop_
_atom_site_label
_atom_site_fract_x
_atom_site_fract_y
_atom_site_fract_z
_atom_site_occupancy
Ta1 0.500 0.936 0.653 1
Ta2 0.000 0.654 0.783 1
Ta3 0.500 0.207 0.490 1
Ta4 0.000 0.488 0.360 1
Ru1 0.000 0.071 0.071 1
Nb1 0.500 0.358 0.920 1
Nb2 0.500 0.785 0.223 1
```

Entry two
VASP calculation (PBE-GGA) on a geometry-optimized Ta4Nb2Ru structure.

Cell and atoms, written as CIF:
```
data_Ta4Nb2Ru
_chemical_formula_sum 'Ta4 Nb2 Ru1'
_cell_length_a 2.839
_cell_length_b 7.208
_cell_length_c 7.248
_cell_angle_alpha 61.05
_cell_angle_beta 81.09
_cell_angle_gamma 96.51
_symmetry_space_group_name_H-M 'P 1'
_symmetry_Int_Tables_number 1
_symmetry_space_group_name_Hall 'P 1'
loop_
_atom_site_label
_atom_site_fract_x
_atom_site_fract_y
_atom_site_fract_z
_atom_site_occupancy
Nb1 0.749 0.145 0.284 1
Nb2 0.251 0.855 0.716 1
Ru1 0.000 0.000 0.000 1
Ta1 0.394 0.424 0.856 1
Ta2 0.019 0.280 0.579 1
Ta3 0.606 0.576 0.144 1
Ta4 0.981 0.720 0.421 1
```

Entry three
VASP calculation (PBE-GGA) on a geometry-optimized Ta4Nb2Ru structure.

Cell and atoms, written as CIF:
```
data_Ta4Nb2Ru
_chemical_formula_sum 'Ta4 Nb2 Ru1'
_cell_length_a 4.747
_cell_length_b 4.747
_cell_length_c 7.512
_cell_angle_alpha 71.58
_cell_angle_beta 71.58
_cell_angle_gamma 90.00
_symmetry_space_group_name_H-M 'P 1'
_symmetry_Int_Tables_number 1
_symmetry_space_group_name_Hall 'P 1'
loop_
_atom_site_label
_atom_site_fract_x
_atom_site_fract_y
_atom_site_fract_z
_atom_site_occupancy
Nb1 0.619 0.619 0.761 1
Nb2 0.381 0.381 0.239 1
Ta1 0.500 0.000 0.000 1
Ta2 0.813 0.813 0.375 1
Ta3 0.187 0.187 0.625 1
Ta4 0.000 0.500 0.000 1
Ru1 0.000 0.000 0.000 1
```

Most favorable first, least favorable last: entry two, entry one, entry three